This record from the Alexandria database describes crystalline UAgIrO6 at its relaxed geometry. The functional is PBE.

abc: 5.387 5.387 9.839
angles: 90.00 90.00 120.00
Element x y z (fractional)
U 0.333 0.667 0.250
U 0.667 0.333 0.750
Ag 0.000 0.000 0.000
Ag 0.000 0.000 0.500
Ir 0.333 0.667 0.750
Ir 0.667 0.333 0.250
O 0.013 0.364 0.638
O 0.013 0.649 0.862
O 0.351 0.364 0.862
O 0.351 0.987 0.638
O 0.364 0.013 0.138
O 0.364 0.351 0.362
O 0.636 0.649 0.638
O 0.636 0.987 0.862
O 0.649 0.013 0.362
O 0.649 0.636 0.138
O 0.987 0.351 0.138
O 0.987 0.636 0.362

Symmetry: P-31c
Formation energy from raw total energies: -1384 kJ/mol of formula units
Raw total energy: -7.45 eV per atom
Calculated volume: 13.739 Å³/atom